Record 1
Density functional theory data (PBE) for a relaxed Nb4CdI7 crystal.

Values from the calculation:
The value obtained for the density of states at the Fermi level is 12.428 states/eV per cell. As for the total magnetization: 0.00 Bohr magnetons per cell. The value obtained for the volume is 40.31 A^3/atom. As for the raw formation energy: -0.277 eV/atom.

abc: 4.472 10.506 20.911
angles: 85.98 87.63 80.93
Space group P1 (No. 1)
Symmetry-distinct sites (fractional):
Nb: 0.000 0.000 0.000 x1
Nb: 0.021 0.573 0.425 x1
Nb: 0.253 0.791 0.398 x1
Nb: 0.302 0.761 0.942 x1
Nb: 0.508 0.600 0.501 x1
Nb: 0.537 0.981 0.923 x1
Nb: 0.725 0.822 0.474 x1
Nb: 0.782 0.776 0.020 x1
Cd: 0.159 0.060 0.743 x1
Cd: 0.500 0.392 0.273 x1
I: 0.045 0.283 0.212 x1
I: 0.051 0.435 0.553 x1
I: 0.147 0.644 0.291 x1
I: 0.160 0.007 0.484 x1
I: 0.331 0.607 0.067 x1
I: 0.438 0.186 0.014 x1
I: 0.486 0.836 0.811 x1
I: 0.578 0.752 0.604 x1
I: 0.601 0.374 0.410 x1
I: 0.649 0.143 0.667 x1
I: 0.710 0.951 0.341 x1
I: 0.855 0.916 0.127 x1
I: 0.867 0.578 0.922 x1
I: 0.977 0.160 0.868 x1

=====

Record 2
Density functional theory data (PBE) for a relaxed Nb2Cd2I crystal.

Values from the calculation:
The value obtained for the density of states at the Fermi level is 12.511 states/eV per cell. As for the total magnetization: 0.00 Bohr magnetons per cell. The value obtained for the volume is 22.62 A^3/atom. As for the raw formation energy: 0.662 eV/atom.

abc: 3.960 3.960 14.422
angles: 90.00 90.00 90.00
Space group I4/mmm (No. 139)
Symmetry-distinct sites (fractional):
Nb: 0.000 0.000 0.088 x4
Cd: 0.000 0.500 0.250 x4
I: 0.000 0.000 0.500 x2

=====

Record 3
Density functional theory data (PBE) for a relaxed NbCdI3 crystal.

Values from the calculation:
The value obtained for the density of states at the Fermi level is 6.720 states/eV per cell. As for the total magnetization: 3.87 Bohr magnetons per cell. The value obtained for the volume is 39.21 A^3/atom. As for the raw formation energy: 0.682 eV/atom.

abc: 5.809 5.809 5.809
angles: 90.00 90.00 90.00
Space group Pm-3m (No. 221)
Symmetry-distinct sites (fractional):
Nb: 0.000 0.000 0.000 x1
Cd: 0.500 0.500 0.500 x1
I: 0.000 0.500 0.500 x3

=====

Please write out number 1 again, unchanged.
Density functional theory data (PBE) for a relaxed Nb4CdI7 crystal.

Values from the calculation:
The value obtained for the density of states at the Fermi level is 12.428 states/eV per cell. As for the total magnetization: 0.00 Bohr magnetons per cell. The value obtained for the volume is 40.31 A^3/atom. As for the raw formation energy: -0.277 eV/atom.

abc: 4.472 10.506 20.911
angles: 85.98 87.63 80.93
Space group P1 (No. 1)
Symmetry-distinct sites (fractional):
Nb: 0.000 0.000 0.000 x1
Nb: 0.021 0.573 0.425 x1
Nb: 0.253 0.791 0.398 x1
Nb: 0.302 0.761 0.942 x1
Nb: 0.508 0.600 0.501 x1
Nb: 0.537 0.981 0.923 x1
Nb: 0.725 0.822 0.474 x1
Nb: 0.782 0.776 0.020 x1
Cd: 0.159 0.060 0.743 x1
Cd: 0.500 0.392 0.273 x1
I: 0.045 0.283 0.212 x1
I: 0.051 0.435 0.553 x1
I: 0.147 0.644 0.291 x1
I: 0.160 0.007 0.484 x1
I: 0.331 0.607 0.067 x1
I: 0.438 0.186 0.014 x1
I: 0.486 0.836 0.811 x1
I: 0.578 0.752 0.604 x1
I: 0.601 0.374 0.410 x1
I: 0.649 0.143 0.667 x1
I: 0.710 0.951 0.341 x1
I: 0.855 0.916 0.127 x1
I: 0.867 0.578 0.922 x1
I: 0.977 0.160 0.868 x1

=====

Which of these has the highest total magnetization? NbCdI3

=====

Please write out number 3 again, unchanged.
Density functional theory data (PBE) for a relaxed NbCdI3 crystal.

Values from the calculation:
The value obtained for the density of states at the Fermi level is 6.720 states/eV per cell. As for the total magnetization: 3.87 Bohr magnetons per cell. The value obtained for the volume is 39.21 A^3/atom. As for the raw formation energy: 0.682 eV/atom.

abc: 5.809 5.809 5.809
angles: 90.00 90.00 90.00
Space group Pm-3m (No. 221)
Symmetry-distinct sites (fractional):
Nb: 0.000 0.000 0.000 x1
Cd: 0.500 0.500 0.500 x1
I: 0.000 0.500 0.500 x3

=====

Which formula does entry 1 have? Nb4CdI7